Entry 1:
Material: SrCoTc
Method: DFT, PBE-GGA
State: relaxed

Summary:
M_tot	0.000	μB per formula unit
ΔE_f	0.365	eV/atom
polymorph energy (0 for the lowest one)	92	meV/atom
uncorrected energy	-6.02	eV/atom
SG	Cm (8)

Cell: 10.5611 4.0666 4.0656 Å, 119.99 101.07 89.91°
With the nearest neighbours (Å) after each atom.
Sites, in units of the cell vectors:
Sr: 0.9024 0.7014 0.5946  4 Co 2.97-2.99
Sr: 0.2787 0.1651 0.5155  4 Tc 3.20-3.53
Co: 0.7226 0.9758 0.1417  4 Tc 2.39-2.57, 3 Co 2.60
Co: 0.6140 0.6070 0.4032  3 Tc 2.35, 3 Co 2.60
Tc: 0.4907 0.9003 0.9886  4 Co 2.39-2.67
Tc: 0.6217 0.2761 0.7416  6 Co 2.35-2.57

=====

Entry 2:
Material: BaZn2Au2
Method: DFT, PBE-GGA
State: relaxed

Summary:
M_tot	0.000	μB per formula unit
ΔE_f	-0.497	eV/atom
polymorph energy (0 for the lowest one)	1	meV/atom
uncorrected energy	-2.70	eV/atom
SG	I4/mmm (139)

Cell: 4.5486 4.5486 6.5732 Å, 69.76 69.76 90.00°
With the nearest neighbours (Å) after each atom.
Sites, in units of the cell vectors:
Zn: 0.7500 0.2500 0.5000  4 Au 2.67
Zn: 0.2500 0.7500 0.5000  4 Au 2.67
Au: 0.3728 0.3728 0.2544  4 Zn 2.67, 1 Au 2.92
Au: 0.6272 0.6272 0.7456  4 Zn 2.67, 1 Au 2.92
Ba: 0.0000 0.0000 0.0000  8 Au 3.53, 8 Zn 3.66

=====

Entry 3:
Material: Zr2SeCl
Method: DFT, PBE-GGA
State: relaxed

Summary:
M_tot	0.000	μB per formula unit
energy relative to the elements, uncorrected	-0.8254	eV/atom
polymorph energy (0 for the lowest one)	153	meV/atom
uncorrected energy	-6.43	eV/atom
SG	Cm (8)

Cell: 5.2213 5.2213 4.8456 Å, 77.03 77.03 37.33°
With the nearest neighbours (Å) after each atom.
Sites, in units of the cell vectors:
Cl: 0.4902 0.4902 0.5567  7 Zr 2.77-3.08
Se: 0.2651 0.2651 0.1716  7 Zr 2.78-2.96
Zr: 0.9955 0.9955 0.0883  3 Se 2.78-2.79, 4 Cl 2.81-3.08
Zr: 0.7492 0.7492 0.6835  3 Cl 2.77-2.86, 4 Se 2.93-2.96

=====

Entry 4:
Material: SmGaAg
Method: DFT, PBE-GGA
State: relaxed

Summary:
M_tot	0.000	μB per formula unit
ΔE_f	-0.457	eV/atom
uncorrected energy	-3.99	eV/atom
SG	Immm (71)

Cell: 4.6356 5.8918 5.8918 Å, 84.96 66.86 66.86°
With the nearest neighbours (Å) after each atom.
Sites, in units of the cell vectors:
Sm: 0.2380 0.8142 0.8142  6 Ag 3.20-3.24, 6 Ga 3.24-3.26, 1 Sm 3.55
Sm: 0.7209 0.3309 0.3309  6 Ag 3.20-3.24, 6 Ga 3.25, 1 Sm 3.55
Ga: 0.4790 0.9141 0.2318  1 Ga 2.53, 2 Ag 2.66
Ga: 0.4790 0.2318 0.9141  1 Ga 2.53, 2 Ag 2.66
Ag: 0.9798 0.3963 0.7481  2 Ga 2.66, 1 Ag 2.80
Ag: 0.9798 0.7481 0.3963  2 Ga 2.66, 1 Ag 2.80

=====

Entry 5:
Material: ErAl3Pd3
Method: DFT, PBE-GGA
State: relaxed

Summary:
M_tot	0.000	μB per formula unit
ΔE_f	-0.305	eV/atom
uncorrected energy	-4.79	eV/atom
SG	Pm-3n (223)

Cell: 6.7225 6.7225 6.7225 Å, 90.00 90.00 90.00°
With the nearest neighbours (Å) after each atom.
Sites, in units of the cell vectors:
Al: 0.0000 0.2500 0.5000  4 Pd 2.38
Al: 0.0000 0.7500 0.5000  4 Pd 2.38
Al: 0.5000 0.0000 0.7500  4 Pd 2.38
Al: 0.7500 0.5000 0.0000  4 Pd 2.38
Al: 0.5000 0.0000 0.2500  4 Pd 2.38
Al: 0.2500 0.5000 0.0000  4 Pd 2.38
Pd: 0.2500 0.0000 0.5000  4 Al 2.38
Pd: 0.0000 0.5000 0.2500  4 Al 2.38
Pd: 0.5000 0.7500 0.0000  4 Al 2.38
Pd: 0.7500 0.0000 0.5000  4 Al 2.38
Pd: 0.0000 0.5000 0.7500  4 Al 2.38
Pd: 0.5000 0.2500 0.0000  4 Al 2.38
Er: 0.5000 0.5000 0.5000  12 Al 3.76, 12 Pd 3.76
Er: 0.0000 0.0000 0.0000  12 Al 3.76, 12 Pd 3.76

=====

Entry 6:
Material: LiAc2Zn3Hg4
Method: DFT, PBE-GGA
State: relaxed

Summary:
M_tot	0.000	μB per formula unit
ΔE_f	-0.318	eV/atom
uncorrected energy	-1.83	eV/atom
SG	P-4m2 (115)

Cell: 4.7403 4.7403 10.7211 Å, 90.00 90.00 90.00°
With the nearest neighbours (Å) after each atom.
Sites, in units of the cell vectors:
Li: 0.5000 0.5000 0.5000  4 Hg 2.69
Ac: 0.5000 0.0000 0.2493  6 Zn 3.56-3.58, 9 Hg 3.57-3.96, 2 Li 3.58
Ac: 0.0000 0.5000 0.7507  6 Zn 3.56-3.58, 9 Hg 3.57-3.96, 2 Li 3.58
Zn: 0.0000 0.0000 0.5000  4 Hg 2.69
Zn: 0.5000 0.0000 0.8631  5 Hg 2.62-2.79
Zn: 0.0000 0.5000 0.1369  5 Hg 2.62-2.79
Hg: 0.5000 0.5000 0.0000  4 Zn 2.79
Hg: 0.0000 0.0000 0.0000  4 Zn 2.79
Hg: 0.5000 0.0000 0.6184  3 Zn 2.62-2.69, 2 Li 2.69
Hg: 0.0000 0.5000 0.3816  3 Zn 2.62-2.69, 2 Li 2.69